VASP calculation (PBE) on a relaxed KLi2Be2 crystal.

The space group is P4/mbm (No. 127) and the conventional cell measures 8.1098, 8.1098 and 2.8249 Å, with angles of 90.00, 90.00 and 90.00 degrees. Symmetry generates all atoms from K at (0.0000, 0.0000, 0.0000), Li at (0.1769, 0.3231, 0.5000) and Be at (0.0940, 0.5940, 0.0000).

As for the theoretical density: 1.269 g cm⁻³. The calculation puts the total magnetization at 0.00 μB/cell. For the offset from the most stable computed form, the calculation gives 0.0 meV per atom. Its total DFT energy (no corrections) is -1.916 eV/atom.



VASP calculation (PBE) on a relaxed Pr7Er2Mg2 crystal.

The space group is C2/m (No. 12) and the conventional cell measures 12.0630, 11.1410 and 5.9108 Å, with angles of 90.00, 111.85 and 90.00 degrees. Symmetry generates all atoms from Pr at (0.0000, 0.0000, 0.0000), Pr at (0.1938, 0.2080, 0.1876), Pr at (0.2333, 0.0000, 0.6628), Er at (0.0000, 0.2206, 0.5000) and Mg at (0.0589, 0.5000, 0.7799).

As for the theoretical density: 6.169 g cm⁻³. The calculation puts the total magnetization at 0.00 μB/cell. For the offset from the most stable computed form, the calculation gives 20.3 meV per atom. Its total DFT energy (no corrections) is -4.032 eV/atom.